(1)
Rb2CaZn2S4 after structural relaxation, computed with PBE.

Output
- space-group type = C2/m (12)
- E_form (uncorrected) (eV/atom) = -1.241
- total moment (μB/atom) = 0.000

abc: 4.025 7.869 8.006
angles: 108.52 104.56 90.00
Fractional coordinates of all 9 atoms:
1 Zn 0.329 0.025 0.658
2 Zn 0.671 0.975 0.342
3 S 0.474 0.228 0.948
4 S 0.526 0.772 0.052
5 S 0.794 0.840 0.588
6 S 0.206 0.160 0.412
7 Ca 0.000 0.000 0.000
8 Rb 0.874 0.458 0.747
9 Rb 0.126 0.542 0.253

---

(2)
AlZn2Cd after structural relaxation, computed with PBE.

Output
- space-group type = R-3m (166)
- distance to the lowest polymorph of the same formula (meV per atom) = 0
- total moment (μB/atom) = 0.000
- energy of formation (eV/atom) = 0.0594

abc: 10.365 10.365 10.365
angles: 15.76 15.76 15.76
Fractional coordinates of all 4 atoms:
1 Al 0.250 0.250 0.250
2 Cd 0.750 0.750 0.750
3 Zn 0.508 0.508 0.508
4 Zn 0.992 0.992 0.992

---

(3)
Y8Ag after structural relaxation, computed with PBE.

Output
- space-group type = I4/mmm (139)
- total moment (μB/atom) = 0.000
- energy of formation (eV/atom) = 0.0357

abc: 7.863 7.863 7.863
angles: 95.60 95.60 143.59
Fractional coordinates of all 9 atoms:
1 Y 0.333 0.000 0.333
2 Y 0.000 0.333 0.333
3 Y 0.663 0.663 0.326
4 Y 0.337 0.663 0.000
5 Y 0.663 0.337 0.000
6 Y 0.667 0.000 0.667
7 Y 0.000 0.667 0.667
8 Y 0.337 0.337 0.674
9 Ag 0.000 0.000 0.000

---

(4)
CrRe2Hg after structural relaxation, computed with PBE.

Output
- space-group type = Pmmm (47)
- total moment (μB/atom) = 0.688
- energy of formation (eV/atom) = 0.7331

abc: 3.215 4.359 4.559
angles: 90.00 90.00 90.00
Each line ends with the local moment (μB).
Fractional coordinates of all 4 atoms:
1 Hg 0.000 0.500 0.500  0.03
2 Re 0.500 0.500 0.000  0.01
3 Re 0.000 0.000 0.000  -0.29
4 Cr 0.500 0.000 0.500  2.83

---

(5)
NbSi2H after structural relaxation, computed with PBE.

Output
- space-group type = I-42d (122)
- distance to the lowest polymorph of the same formula (meV per atom) = 0
- total moment (μB/atom) = 0.000

abc: 5.815 5.815 5.071
angles: 55.01 55.01 90.00
Fractional coordinates of all 8 atoms:
1 H 0.250 0.750 0.500
2 H 0.500 0.500 0.000
3 Si 0.375 0.480 0.750
4 Si 0.520 0.125 0.250
5 Si 0.230 0.625 0.250
6 Si 0.875 0.770 0.750
7 Nb 0.750 0.250 0.500
8 Nb 0.000 0.000 0.000

---

(6)
LiTeAsOs2 after structural relaxation, computed with PBE.

Output
- space-group type = P4/mmm (123)
- E_form (uncorrected) (eV/atom) = 1.222
- total moment (μB/atom) = 0.000

abc: 4.473 4.011 4.473
angles: 90.00 90.00 90.00
Fractional coordinates of all 5 atoms:
1 Li 0.000 0.000 0.000
2 As 0.000 0.500 0.000
3 Te 0.500 0.500 0.500
4 Os 0.000 0.000 0.500
5 Os 0.500 0.000 0.000